# 1
First-principles (PBE-GGA) data for an optimized crystal structure of TiBiSe, as listed in Alexandria.

```
TiBiSe
1.0
-1.6362 1.6362 6.9978
1.6362 -1.6362 6.9978
1.6362 1.6362 -6.9978
Ti Bi Se
1 1 1
Direct
0.0000 0.0000 0.0000 Ti
0.3394 0.3394 0.0000 Bi
0.5882 0.5882 0.0000 Se
```

formation energy (no corrections)	-577.9	meV per atom
DOS at the Fermi energy	1.72	states/eV per cell
crystal system	tetragonal

=====

# 2
First-principles (PBE-GGA) data for an optimized crystal structure of TiBiSe3, as listed in Alexandria.

```
TiBiSe3
1.0
7.3385 -5.9509 0.0000
7.3385 5.9509 0.0000
-2.4430 0.0000 6.0038
Ti Bi Se
4 4 12
Direct
0.0672 0.9328 0.7500 Ti
0.2180 0.7820 0.2500 Ti
0.7820 0.2180 0.7500 Ti
0.9328 0.0672 0.2500 Ti
0.2103 0.3835 0.5813 Bi
0.3835 0.2103 0.0813 Bi
0.6165 0.7897 0.9187 Bi
0.7897 0.6165 0.4187 Bi
0.0351 0.1926 0.0230 Se
0.1053 0.6692 0.4766 Se
0.1926 0.0351 0.5230 Se
0.3060 0.5119 0.0238 Se
0.3308 0.8947 0.0234 Se
0.4881 0.6940 0.4762 Se
0.5119 0.3060 0.5238 Se
0.6692 0.1053 0.9766 Se
0.6940 0.4881 0.9762 Se
0.8074 0.9649 0.4770 Se
0.8947 0.3308 0.5234 Se
0.9649 0.8074 0.9770 Se
```

formation energy (no corrections)	-665.3	meV per atom
DOS at the Fermi energy	10.96	states/eV per cell
crystal system	monoclinic

=====

# 3
First-principles (PBE-GGA) data for an optimized crystal structure of TiBiSe3, as listed in Alexandria.

```
TiBiSe3
1.0
6.0716 0.0000 0.0000
1.6755 7.0565 0.0000
0.1429 3.1359 6.5382
Ti Bi Se
2 2 6
Direct
0.0000 0.0000 0.0000 Ti
0.4917 0.0510 0.9793 Ti
0.0073 0.5750 0.4522 Bi
0.2758 0.6083 0.8138 Bi
0.1926 0.2384 0.1188 Se
0.2354 0.0864 0.6884 Se
0.3589 0.6974 0.2054 Se
0.6806 0.3316 0.7553 Se
0.7621 0.9935 0.2978 Se
0.8132 0.7538 0.9477 Se
```

formation energy (no corrections)	-684.1	meV per atom
DOS at the Fermi energy	2.48	states/eV per cell
crystal system	triclinic

=====

# 4
First-principles (PBE-GGA) data for an optimized crystal structure of Ti2BiSe, as listed in Alexandria.

```
Ti2BiSe
1.0
0.0000 3.3818 3.3818
3.3818 0.0000 3.3818
3.3818 3.3818 0.0000
Ti Bi Se
2 1 1
Direct
0.2500 0.2500 0.2500 Ti
0.7500 0.7500 0.7500 Ti
0.0000 0.0000 0.0000 Bi
0.5000 0.5000 0.5000 Se
```

formation energy (no corrections)	-282.3	meV per atom
DOS at the Fermi energy	3.53	states/eV per cell
crystal system	cubic

=====

# 5
First-principles (PBE-GGA) data for an optimized crystal structure of TiBiSe, as listed in Alexandria.

```
TiBiSe
1.0
3.4993 0.0000 0.0000
-1.7497 3.0305 0.0000
0.0000 0.0000 7.2455
Ti Bi Se
1 1 1
Direct
0.0000 0.0000 0.0000 Ti
0.3333 0.6667 0.6854 Bi
0.6667 0.3333 0.2048 Se
```

formation energy (no corrections)	-644.6	meV per atom
DOS at the Fermi energy	2.05	states/eV per cell
crystal system	trigonal

=====

# 6
First-principles (PBE-GGA) data for an optimized crystal structure of TiBiSe3, as listed in Alexandria.

```
TiBiSe3
1.0
3.6213 0.0000 0.0000
0.0000 5.0400 0.0000
-1.5290 0.0000 6.8063
Ti Bi Se
1 1 3
Direct
0.0000 0.0000 0.0000 Ti
0.4516 0.5000 0.4575 Bi
0.0440 0.5000 0.0478 Se
0.4043 0.0000 0.7376 Se
0.6295 0.0000 0.2789 Se
```

formation energy (no corrections)	-629.3	meV per atom
DOS at the Fermi energy	2.23	states/eV per cell
crystal system	monoclinic

=====

# 7
First-principles (PBE-GGA) data for an optimized crystal structure of Ti5Bi2Se, as listed in Alexandria.

```
Ti5Bi2Se
1.0
2.3907 -6.7965 0.0000
2.3907 6.7965 0.0000
0.0000 0.0000 11.6189
Ti Bi Se
10 4 2
Direct
0.1088 0.8912 0.6377 Ti
0.1088 0.8912 0.8623 Ti
0.2879 0.7121 0.2500 Ti
0.2980 0.7020 0.5274 Ti
0.2980 0.7020 0.9726 Ti
0.7020 0.2980 0.0274 Ti
0.7020 0.2980 0.4726 Ti
0.7121 0.2879 0.7500 Ti
0.8912 0.1088 0.1377 Ti
0.8912 0.1088 0.3623 Ti
0.1017 0.8983 0.1056 Bi
0.1017 0.8983 0.3944 Bi
0.8983 0.1017 0.6056 Bi
0.8983 0.1017 0.8944 Bi
0.2729 0.7271 0.7500 Se
0.7271 0.2729 0.2500 Se
```

formation energy (no corrections)	21.2	meV per atom
DOS at the Fermi energy	18.84	states/eV per cell
crystal system	orthorhombic

=====

# 8
First-principles (PBE-GGA) data for an optimized crystal structure of TiBiSe3, as listed in Alexandria.

```
TiBiSe3
1.0
4.9792 0.0000 0.0000
0.0000 4.9792 0.0000
0.0000 0.0000 4.9792
Ti Bi Se
1 1 3
Direct
0.0000 0.0000 0.0000 Ti
0.5000 0.5000 0.5000 Bi
0.0000 0.0000 0.5000 Se
0.0000 0.5000 0.0000 Se
0.5000 0.0000 0.0000 Se
```

formation energy (no corrections)	-339.7	meV per atom
DOS at the Fermi energy	10.16	states/eV per cell
crystal system	cubic

=====

# 9
First-principles (PBE-GGA) data for an optimized crystal structure of TiBiSe3, as listed in Alexandria.

```
TiBiSe3
1.0
3.3787 0.0000 0.0000
-1.6875 6.8925 0.0000
-1.6798 -3.1040 6.2365
Ti Bi Se
1 1 3
Direct
0.0000 0.0000 0.0000 Ti
0.0465 0.6647 0.5099 Bi
0.2661 0.6754 0.9018 Se
0.4248 0.1174 0.7880 Se
0.7065 0.1714 0.3054 Se
```

formation energy (no corrections)	-680.0	meV per atom
DOS at the Fermi energy	0.99	states/eV per cell
crystal system	triclinic

=====

# 10
First-principles (PBE-GGA) data for an optimized crystal structure of Ti6Bi3Se, as listed in Alexandria.

```
Ti6Bi3Se
1.0
10.4864 0.0000 0.0000
0.0000 3.4550 0.0000
-4.8463 0.0000 11.1520
Ti Bi Se
12 6 2
Direct
0.0282 0.2500 0.3544 Ti
0.0690 0.7500 0.1171 Ti
0.1898 0.2500 0.7672 Ti
0.2655 0.2500 0.0558 Ti
0.3859 0.7500 0.9358 Ti
0.4418 0.2500 0.5594 Ti
0.5582 0.7500 0.4406 Ti
0.6141 0.2500 0.0642 Ti
0.7345 0.7500 0.9442 Ti
0.8102 0.7500 0.2328 Ti
0.9310 0.2500 0.8829 Ti
0.9718 0.7500 0.6456 Ti
0.2035 0.7500 0.5610 Bi
0.2800 0.2500 0.3068 Bi
0.4919 0.2500 0.8064 Bi
0.5081 0.7500 0.1936 Bi
0.7200 0.7500 0.6932 Bi
0.7965 0.2500 0.4390 Bi
0.1187 0.7500 0.8964 Se
0.8813 0.2500 0.1036 Se
```

formation energy (no corrections)	-240.0	meV per atom
DOS at the Fermi energy	19.68	states/eV per cell
crystal system	monoclinic

=====

# 11
First-principles (PBE-GGA) data for an optimized crystal structure of Ti2BiSe, as listed in Alexandria.

```
Ti2BiSe
1.0
-2.8099 2.8099 7.1013
2.8099 -2.8099 7.1013
2.8099 2.8099 -7.1013
Ti Bi Se
4 2 2
Direct
0.0710 0.6250 0.9460 Ti
0.3750 0.3210 0.4460 Ti
0.6790 0.1250 0.0540 Ti
0.8750 0.9290 0.5540 Ti
0.2500 0.7500 0.5000 Bi
0.5000 0.5000 0.0000 Bi
0.0000 0.0000 0.0000 Se
0.7500 0.2500 0.5000 Se
```

formation energy (no corrections)	-54.3	meV per atom
DOS at the Fermi energy	4.96	states/eV per cell
crystal system	tetragonal

=====

# 12
First-principles (PBE-GGA) data for an optimized crystal structure of TiTl3Bi3Se8, as listed in Alexandria.

```
TiTl3Bi3Se8
1.0
4.1633 2.4037 7.7705
-4.1633 2.4037 7.7705
0.0000 -4.8073 7.7705
Ti Tl Bi Se
1 3 3 8
Direct
0.0000 0.0000 0.0000 Ti
0.0000 0.0000 0.5000 Tl
0.0000 0.5000 0.0000 Tl
0.5000 0.0000 0.0000 Tl
0.0000 0.5000 0.5000 Bi
0.5000 0.0000 0.5000 Bi
0.5000 0.5000 0.0000 Bi
0.2145 0.2145 0.7666 Se
0.2145 0.7666 0.2145 Se
0.2334 0.7855 0.7855 Se
0.2601 0.2601 0.2601 Se
0.7399 0.7399 0.7399 Se
0.7666 0.2145 0.2145 Se
0.7855 0.2334 0.7855 Se
0.7855 0.7855 0.2334 Se
```

formation energy (no corrections)	-561.1	meV per atom
crystal system	trigonal

=====

# 13
First-principles (PBE-GGA) data for an optimized crystal structure of TiZn2BiSe, as listed in Alexandria.

```
TiZn2BiSe
1.0
5.1761 0.0000 0.0000
0.0000 5.1761 0.0000
0.0000 0.0000 5.5603
Ti Zn Bi Se
1 2 1 1
Direct
0.0000 0.0000 0.0000 Ti
0.0000 0.5000 0.5000 Zn
0.5000 0.0000 0.5000 Zn
0.0000 0.0000 0.5000 Bi
0.5000 0.5000 0.0000 Se
```

formation energy (no corrections)	694.7	meV per atom
DOS at the Fermi energy	7.44	states/eV per cell
crystal system	tetragonal

=====

# 14
First-principles (PBE-GGA) data for an optimized crystal structure of TlBi2Se2, as listed in Alexandria.

```
TlBi2Se2
1.0
8.8155 0.0000 0.0000
0.0000 8.8155 0.0000
0.0000 0.0000 3.8568
Tl Bi Se
2 4 4
Direct
0.0000 0.0000 0.0000 Tl
0.5000 0.5000 0.0000 Tl
0.1875 0.3125 0.5000 Bi
0.3125 0.8125 0.5000 Bi
0.6875 0.1875 0.5000 Bi
0.8125 0.6875 0.5000 Bi
0.1463 0.6463 0.0000 Se
0.3537 0.1463 0.0000 Se
0.6463 0.8537 0.0000 Se
0.8537 0.3537 0.0000 Se
```

formation energy (no corrections)	-84.5	meV per atom
DOS at the Fermi energy	4.00	states/eV per cell
crystal system	tetragonal

=====

# 15
First-principles (PBE-GGA) data for an optimized crystal structure of Tl2BiSe4, as listed in Alexandria.

```
Tl2BiSe4
1.0
2.1227 -7.2803 0.0000
2.1227 7.2803 0.0000
0.0000 0.0000 13.2939
Tl Bi Se
4 2 8
Direct
0.1341 0.8659 0.5531 Tl
0.1341 0.8659 0.9469 Tl
0.8659 0.1341 0.0531 Tl
0.8659 0.1341 0.4469 Tl
0.4156 0.5844 0.7500 Bi
0.5844 0.4156 0.2500 Bi
0.0480 0.9520 0.7500 Se
0.2185 0.7815 0.1566 Se
0.2185 0.7815 0.3434 Se
0.5000 0.5000 0.0000 Se
0.5000 0.5000 0.5000 Se
0.7815 0.2185 0.6566 Se
0.7815 0.2185 0.8434 Se
0.9520 0.0480 0.2500 Se
```

formation energy (no corrections)	-212.9	meV per atom
DOS at the Fermi energy	7.09	states/eV per cell
crystal system	orthorhombic

=====

# 16
First-principles (PBE-GGA) data for an optimized crystal structure of Tl3Bi5Se12, as listed in Alexandria.

```
Tl3Bi5Se12
1.0
-8.7739 8.7739 8.7739
8.7739 -8.7739 8.7739
8.7739 8.7739 -8.7739
Tl Bi Se
12 20 48
Direct
0.1250 0.2500 0.3750 Tl
0.1250 0.3750 0.7500 Tl
0.2500 0.3750 0.1250 Tl
0.2500 0.8750 0.6250 Tl
0.3750 0.1250 0.2500 Tl
0.3750 0.7500 0.1250 Tl
0.6250 0.2500 0.8750 Tl
0.6250 0.8750 0.7500 Tl
0.7500 0.1250 0.3750 Tl
0.7500 0.6250 0.8750 Tl
0.8750 0.6250 0.2500 Tl
0.8750 0.7500 0.6250 Tl
0.0000 0.0000 0.0000 Bi
0.0000 0.0000 0.5000 Bi
0.0000 0.5000 0.0000 Bi
0.0000 0.5000 0.5000 Bi
0.1250 0.7500 0.8750 Bi
0.1250 0.8750 0.2500 Bi
0.2500 0.1250 0.8750 Bi
0.2500 0.6250 0.3750 Bi
0.3750 0.2500 0.6250 Bi
0.3750 0.6250 0.7500 Bi
0.5000 0.0000 0.0000 Bi
0.5000 0.0000 0.5000 Bi
0.5000 0.5000 0.0000 Bi
0.5000 0.5000 0.5000 Bi
0.6250 0.3750 0.2500 Bi
0.6250 0.7500 0.3750 Bi
0.7500 0.3750 0.6250 Bi
0.7500 0.8750 0.1250 Bi
0.8750 0.1250 0.7500 Bi
0.8750 0.2500 0.1250 Bi
0.0390 0.2155 0.1221 Se
0.0390 0.3234 0.9168 Se
0.0832 0.6221 0.4066 Se
0.0832 0.9610 0.6766 Se
0.0934 0.7155 0.6766 Se
0.0934 0.8779 0.4168 Se
0.1221 0.0390 0.2155 Se
0.1221 0.5832 0.9066 Se
0.1766 0.2155 0.5934 Se
0.1766 0.4610 0.5832 Se
0.2155 0.1221 0.0390 Se
0.2155 0.5934 0.1766 Se
0.2845 0.3234 0.9066 Se
0.2845 0.4610 0.3779 Se
0.3234 0.9066 0.2845 Se
0.3234 0.9168 0.0390 Se
0.3779 0.2845 0.4610 Se
0.3779 0.5934 0.9168 Se
0.4066 0.0832 0.6221 Se
0.4066 0.8234 0.7845 Se
0.4168 0.0934 0.8779 Se
0.4168 0.8234 0.5390 Se
0.4610 0.3779 0.2845 Se
0.4610 0.5832 0.1766 Se
0.5390 0.4168 0.8234 Se
0.5390 0.6221 0.7155 Se
0.5832 0.1766 0.4610 Se
0.5832 0.9066 0.1221 Se
0.5934 0.1766 0.2155 Se
0.5934 0.9168 0.3779 Se
0.6221 0.4066 0.0832 Se
0.6221 0.7155 0.5390 Se
0.6766 0.0832 0.9610 Se
0.6766 0.0934 0.7155 Se
0.7155 0.5390 0.6221 Se
0.7155 0.6766 0.0934 Se
0.7845 0.4066 0.8234 Se
0.7845 0.8779 0.9610 Se
0.8234 0.5390 0.4168 Se
0.8234 0.7845 0.4066 Se
0.8779 0.4168 0.0934 Se
0.8779 0.9610 0.7845 Se
0.9066 0.1221 0.5832 Se
0.9066 0.2845 0.3234 Se
0.9168 0.0390 0.3234 Se
0.9168 0.3779 0.5934 Se
0.9610 0.6766 0.0832 Se
0.9610 0.7845 0.8779 Se
```

formation energy (no corrections)	-96.1	meV per atom
DOS at the Fermi energy	82.15	states/eV per cell
crystal system	cubic

=====

# 17
First-principles (PBE-GGA) data for an optimized crystal structure of TlBi3Se6, as listed in Alexandria.

```
TlBi3Se6
1.0
5.8604 -7.3215 0.0000
5.8604 7.3215 0.0000
0.0000 0.0000 7.0422
Tl Bi Se
2 6 12
Direct
0.1950 0.8050 0.5000 Tl
0.8050 0.1950 0.0000 Tl
0.0790 0.2944 0.5479 Bi
0.2944 0.0790 0.0479 Bi
0.4046 0.5954 0.1147 Bi
0.5954 0.4046 0.6147 Bi
0.7056 0.9210 0.5479 Bi
0.9210 0.7056 0.0479 Bi
0.0336 0.9664 0.3090 Se
0.0999 0.5535 0.2957 Se
0.2220 0.7780 0.8720 Se
0.3104 0.3642 0.8312 Se
0.3642 0.3104 0.3312 Se
0.4465 0.9001 0.2957 Se
0.5535 0.0999 0.7957 Se
0.6358 0.6896 0.8312 Se
0.6896 0.6358 0.3312 Se
0.7780 0.2220 0.3720 Se
0.9001 0.4465 0.7957 Se
0.9664 0.0336 0.8090 Se
```

formation energy (no corrections)	-264.2	meV per atom
crystal system	orthorhombic

=====

# 18
First-principles (PBE-GGA) data for an optimized crystal structure of Tl6BiSe2, as listed in Alexandria.

```
Tl6BiSe2
1.0
7.2383 0.0000 0.0000
-3.6191 6.2685 0.0000
0.0000 0.0000 7.2980
Tl Bi Se
6 1 2
Direct
0.0000 0.4079 0.2879 Tl
0.0000 0.5921 0.7121 Tl
0.4079 0.0000 0.2879 Tl
0.4079 0.4079 0.7121 Tl
0.5921 0.0000 0.7121 Tl
0.5921 0.5921 0.2879 Tl
0.0000 0.0000 0.5000 Bi
0.3333 0.6667 0.0000 Se
0.6667 0.3333 0.0000 Se
```

formation energy (no corrections)	-121.6	meV per atom
DOS at the Fermi energy	3.30	states/eV per cell
crystal system	trigonal

=====

# 19
First-principles (PBE-GGA) data for an optimized crystal structure of Tl4BiSe4, as listed in Alexandria.

```
Tl4BiSe4
1.0
-3.8880 3.8880 5.5081
3.8880 -3.8880 5.5081
3.8880 3.8880 -5.5081
Tl Bi Se
4 1 4
Direct
0.0000 0.5000 0.5000 Tl
0.1632 0.1632 0.0000 Tl
0.5000 0.0000 0.5000 Tl
0.8368 0.8368 0.0000 Tl
0.5000 0.5000 0.0000 Bi
0.1461 0.5701 0.0000 Se
0.4299 0.4299 0.5760 Se
0.5701 0.1461 0.0000 Se
0.8539 0.8539 0.4240 Se
```

formation energy (no corrections)	-251.0	meV per atom
DOS at the Fermi energy	7.22	states/eV per cell
crystal system	tetragonal